1.
The following is a PBE-GGA calculation of NaNdGe2O6 after structural relaxation, from Alexandria.

Unit cell a=5.6018 b=7.4411 c=7.4411 alpha=87.68 beta=79.54 gamma=79.54
Element x y z (fractional)
Na  0.2500  0.3465  0.6535
Na  0.7500  0.6535  0.3465
Nd  0.2500  0.8805  0.1195
Nd  0.7500  0.1195  0.8805
Ge  0.2470  0.7931  0.6256
Ge  0.2530  0.3744  0.2069
Ge  0.7530  0.2069  0.3744
Ge  0.7470  0.6256  0.7931
O  0.1534  0.9502  0.8051
O  0.3466  0.1949  0.0498
O  0.8466  0.0498  0.1949
O  0.6534  0.8051  0.9502
O  0.3498  0.8641  0.4048
O  0.1502  0.5952  0.1359
O  0.6502  0.1359  0.5952
O  0.8498  0.4048  0.8641
O  0.9924  0.6760  0.6122
O  0.5076  0.3878  0.3240
O  0.0076  0.3240  0.3878
O  0.4924  0.6122  0.6760

Values from the calculation:
Fermi-level density of states in states/eV/atom: 0.000
Magnetization in μB per formula unit: 0.0
Energy in Ry/atom: -0.4907
Space-group type: C2/c (15)
Energy relative to the elements, uncorrected in eV/atom: -2.170


2.
The following is a PBE-GGA calculation of SrNdHg4 after structural relaxation, from Alexandria.

Unit cell a=6.1268 b=6.1268 c=6.1268 alpha=60.00 beta=60.00 gamma=60.00
Element x y z (fractional)
Sr  0.2500  0.2500  0.2500
Nd  0.0000  0.0000  0.0000
Hg  0.6254  0.6254  0.1238
Hg  0.6254  0.1238  0.6254
Hg  0.6254  0.6254  0.6254
Hg  0.1238  0.6254  0.6254

Values from the calculation:
Fermi-level density of states in states/eV/atom: 0.868
Energy above the most stable polymorph in this dataset in eV/atom: 0.139
Magnetization in μB per formula unit: 0.0
Energy in Ry/atom: -0.1146
Space-group type: F-43m (216)
DFT formation energy in meV per atom: -283


3.
The following is a PBE-GGA calculation of CaMo2Pt after structural relaxation, from Alexandria.

Unit cell a=2.8632 b=2.8632 c=9.0126 alpha=90.00 beta=90.00 gamma=102.43
Element x y z (fractional)
Mo  0.0000  0.0000  0.0310
Mo  0.5000  0.5000  0.2566
Ca  0.5000  0.5000  0.7352
Pt  0.0000  0.0000  0.4773

Values from the calculation:
Fermi-level density of states in states/eV/atom: 0.926
Energy above the most stable polymorph in this dataset in eV/atom: 0.119
Magnetization in μB per formula unit: 0.0
Energy in Ry/atom: -0.5334
Space-group type: Cmm2 (35)
DFT formation energy in meV per atom: 169


4.
The following is a PBE-GGA calculation of NaVBr4 after structural relaxation, from Alexandria.

Unit cell a=6.6858 b=7.2555 c=9.2853 alpha=106.48 beta=104.11 gamma=107.30
Site moments in Bohr magnetons follow the coordinates.
Element x y z (fractional)
Na  0.3313  0.5813  0.1625  0.00
Na  0.6687  0.4187  0.8375  0.00
V  0.8177  0.0677  0.1354  1.93
V  0.1823  0.9323  0.8646  1.93
Br  0.2841  0.0438  0.6585  -0.03
Br  0.0538  0.8413  0.0960  -0.04
Br  0.1256  0.3853  0.3415  -0.03
Br  0.4578  0.7452  0.9040  -0.04
Br  0.7159  0.9562  0.3415  -0.03
Br  0.8744  0.6147  0.6585  -0.03
Br  0.9462  0.1587  0.9040  -0.04
Br  0.5422  0.2548  0.0960  -0.04

Values from the calculation:
Fermi-level density of states in states/eV/atom: 1.320
Energy above the most stable polymorph in this dataset in eV/atom: 0.034
Magnetization in μB per formula unit: 2.0
Energy in Ry/atom: -0.2852
Space-group type: C2/c (15)
Energy relative to the elements, uncorrected in eV/atom: -1.025


5.
The following is a PBE-GGA calculation of AgWBr2 after structural relaxation, from Alexandria.

Unit cell a=5.4263 b=5.4263 c=7.5916 alpha=69.27 beta=69.27 gamma=33.57
Site moments in Bohr magnetons follow the coordinates.
Element x y z (fractional)
Br  0.0079  0.0079  0.0861  0.02
Br  0.8521  0.8521  0.6641  0.02
Ag  0.1853  0.1853  0.3748  0.03
W  0.4547  0.4547  0.3750  0.80

Values from the calculation:
Fermi-level density of states in states/eV/atom: 0.985
Energy above the most stable polymorph in this dataset in eV/atom: 0.047
Magnetization in μB per formula unit: 1.1
Energy in Ry/atom: -0.3228
Space-group type: Cm (8)
Energy relative to the elements, uncorrected in eV/atom: 0.395


6.
The following is a PBE-GGA calculation of PmErCoAu after structural relaxation, from Alexandria.

Unit cell a=4.9814 b=4.9814 c=4.9814 alpha=60.00 beta=60.00 gamma=60.00
Site moments in Bohr magnetons follow the coordinates.
Element x y z (fractional)
Co  0.0000  0.0000  0.0000  0.85
Pm  0.2500  0.2500  0.2500  -0.07
Au  0.5000  0.5000  0.5000  0.00
Er  0.7500  0.7500  0.7500  -0.13

Values from the calculation:
Fermi-level density of states in states/eV/atom: 0.799
Magnetization in μB per formula unit: 0.6
Energy in Ry/atom: -0.3908
Space-group type: F-43m (216)
DFT formation energy in meV per atom: -392


7.
The following is a PBE-GGA calculation of Ce3Tm after structural relaxation, from Alexandria.

Unit cell a=4.7765 b=4.7765 c=5.9356 alpha=113.73 beta=113.73 gamma=90.00
Element x y z (fractional)
Tm  0.0000  0.0000  0.0000
Ce  0.7500  0.2500  0.5000
Ce  0.2500  0.7500  0.5000
Ce  0.5000  0.5000  0.0000

Values from the calculation:
Fermi-level density of states in states/eV/atom: 2.993
Energy above the most stable polymorph in this dataset in eV/atom: 0.000
Magnetization in μB per formula unit: 0.0
Energy in Ry/atom: -0.4024
Space-group type: I4/mmm (139)
DFT formation energy in meV per atom: 94


8.
The following is a PBE-GGA calculation of V7IrC2 after structural relaxation, from Alexandria.

Unit cell a=3.9722 b=6.0470 c=6.0470 alpha=116.37 beta=90.00 gamma=90.00
Element x y z (fractional)
V  0.0000  0.7253  0.2747
V  0.0000  0.2747  0.7253
V  0.5000  0.0643  0.3266
V  0.5000  0.9357  0.6734
V  0.5000  0.3266  0.0643
V  0.5000  0.6734  0.9357
V  0.5000  0.5000  0.5000
Ir  0.0000  0.0000  0.0000
C  0.5000  0.7045  0.2955
C  0.5000  0.2955  0.7045

Values from the calculation:
Fermi-level density of states in states/eV/atom: 1.083
Magnetization in μB per formula unit: 0.0
Energy in Ry/atom: -0.6705
Space-group type: Cmmm (65)
DFT formation energy in meV per atom: -9


9.
The following is a PBE-GGA calculation of Ca2TaCu after structural relaxation, from Alexandria.

Unit cell a=5.1887 b=5.1887 c=5.1887 alpha=60.00 beta=60.00 gamma=60.00
Site moments in Bohr magnetons follow the coordinates.
Element x y z (fractional)
Ca  0.2500  0.2500  0.2500  0.10
Ca  0.7500  0.7500  0.7500  0.10
Cu  0.0000  0.0000  0.0000  0.04
Ta  0.5000  0.5000  0.5000  1.72

Values from the calculation:
Fermi-level density of states in states/eV/atom: 1.156
Energy above the most stable polymorph in this dataset in eV/atom: 0.508
Magnetization in μB per formula unit: 3.0
Energy in Ry/atom: -0.3047
Space-group type: Fm-3m (225)
DFT formation energy in meV per atom: 842


10.
The following is a PBE-GGA calculation of TlSnBrF2 after structural relaxation, from Alexandria.

Unit cell a=4.4317 b=7.3317 c=8.5195 alpha=100.23 beta=90.00 gamma=90.00
Element x y z (fractional)
Tl  0.2500  0.7208  0.9388
Tl  0.7500  0.2792  0.0612
Sn  0.2500  0.6839  0.4183
Sn  0.7500  0.3161  0.5817
Br  0.2500  0.1013  0.7849
Br  0.7500  0.8987  0.2151
F  0.7500  0.5636  0.4483
F  0.2500  0.4364  0.5517
F  0.7500  0.5058  0.7952
F  0.2500  0.4942  0.2048

Values from the calculation:
Fermi-level density of states in states/eV/atom: 0.000
Energy above the most stable polymorph in this dataset in eV/atom: 0.000
Magnetization in μB per formula unit: 0.0
Energy in Ry/atom: -0.2980
Space-group type: P2_1/m (11)
Energy relative to the elements, uncorrected in eV/atom: -1.698


11.
The following is a PBE-GGA calculation of Pm6Ho2Tm3Mg after structural relaxation, from Alexandria.

Unit cell a=6.1822 b=6.1822 c=11.6876 alpha=95.07 beta=95.07 gamma=120.03
Element x y z (fractional)
Pm  0.9172  0.5844  0.7502
Pm  0.7500  0.7500  0.2509
Pm  0.0828  0.4156  0.2498
Pm  0.5844  0.9172  0.7502
Pm  0.2500  0.2500  0.7491
Pm  0.4156  0.0828  0.2498
Ho  0.3335  0.6665  0.0000
Ho  0.6665  0.3335  0.0000
Tm  0.1664  0.8336  0.5000
Tm  0.8336  0.1664  0.5000
Tm  0.5000  0.5000  0.5000
Mg  0.0000  0.0000  0.0000

Values from the calculation:
Fermi-level density of states in states/eV/atom: 1.014
Magnetization in μB per formula unit: 0.0
Energy in Ry/atom: -0.3209
Space-group type: C2/m (12)
DFT formation energy in meV per atom: 23


12.
The following is a PBE-GGA calculation of In4IrRh3 after structural relaxation, from Alexandria.

Unit cell a=3.1518 b=3.1518 c=13.6839 alpha=90.00 beta=90.00 gamma=90.00
Element x y z (fractional)
Ir  0.5000  0.5000  0.0000
Rh  0.5000  0.5000  0.2522
Rh  0.5000  0.5000  0.5000
Rh  0.5000  0.5000  0.7478
In  0.0000  0.0000  0.8727
In  0.0000  0.0000  0.1273
In  0.0000  0.0000  0.3759
In  0.0000  0.0000  0.6241

Values from the calculation:
Fermi-level density of states in states/eV/atom: 0.208
Magnetization in μB per formula unit: 0.0
Energy in Ry/atom: -0.4093
Space-group type: P4/mmm (123)
DFT formation energy in meV per atom: -336


13.
The following is a PBE-GGA calculation of TlHgIrW2 after structural relaxation, from Alexandria.

Unit cell a=4.9670 b=4.9404 c=4.9670 alpha=90.00 beta=90.00 gamma=90.00
Site moments in Bohr magnetons follow the coordinates.
Element x y z (fractional)
Tl  0.5000  0.5000  0.5000  0.00
Ir  0.0000  0.5000  0.0000  0.02
Hg  0.0000  0.0000  0.0000  0.04
W  0.0000  0.0000  0.5000  1.44
W  0.5000  0.0000  0.0000  1.17

Values from the calculation:
Fermi-level density of states in states/eV/atom: 1.289
Magnetization in μB per formula unit: 3.3
Energy in Ry/atom: -0.3505
Space-group type: P4/mmm (123)
DFT formation energy in meV per atom: 2718


14.
The following is a PBE-GGA calculation of Mg4MoPt after structural relaxation, from Alexandria.

Unit cell a=5.4149 b=5.4149 c=5.4149 alpha=60.00 beta=60.00 gamma=60.00
Site moments in Bohr magnetons follow the coordinates.
Element x y z (fractional)
Mg  0.8762  0.3746  0.3746  0.01
Mg  0.3746  0.3746  0.8762  0.01
Mg  0.3746  0.8762  0.3746  0.01
Mg  0.3746  0.3746  0.3746  0.01
Mo  0.7500  0.7500  0.7500  2.86
Pt  0.0000  0.0000  0.0000  0.32

Values from the calculation:
Fermi-level density of states in states/eV/atom: 0.390
Magnetization in μB per formula unit: 4.0
Energy in Ry/atom: -0.2560
Space-group type: F-43m (216)
DFT formation energy in meV per atom: 391


15.
The following is a PBE-GGA calculation of Cu2Hg2TeO6 after structural relaxation, from Alexandria.

Unit cell a=5.2048 b=5.2048 c=7.3594 alpha=91.63 beta=91.63 gamma=114.39
Site moments in Bohr magnetons follow the coordinates.
Element x y z (fractional)
Cu  0.3323  0.6677  0.5000  0.20
Cu  0.6677  0.3323  0.5000  0.20
Hg  0.7669  0.2331  0.0000  0.00
Hg  0.2331  0.7669  0.0000  0.00
Te  0.0000  0.0000  0.5000  0.00
O  0.6818  0.6818  0.6164  0.07
O  0.9512  0.2863  0.6548  0.03
O  0.3182  0.3182  0.3836  0.07
O  0.2863  0.9512  0.6548  0.03
O  0.0488  0.7137  0.3452  0.03
O  0.7137  0.0488  0.3452  0.03

Values from the calculation:
Fermi-level density of states in states/eV/atom: 0.352
Magnetization in μB per formula unit: 0.7
Energy in Ry/atom: -0.3175
Space-group type: C2/m (12)
Energy relative to the elements, uncorrected in eV/atom: -0.530


16.
The following is a PBE-GGA calculation of PuSb2P2Pt7 after structural relaxation, from Alexandria.

Unit cell a=3.9794 b=3.9794 c=15.1686 alpha=82.48 beta=82.48 gamma=90.01
Site moments in Bohr magnetons follow the coordinates.
Element x y z (fractional)
Pu  0.0000  0.0000  0.0000  4.78
Sb  0.7881  0.7881  0.4239  0.00
Sb  0.2119  0.2119  0.5761  0.00
P  0.6199  0.6199  0.7595  0.00
P  0.3801  0.3801  0.2405  0.00
Pt  0.5000  0.5000  0.0000  0.00
Pt  0.3026  0.3026  0.3950  0.00
Pt  0.6974  0.6974  0.6050  0.00
Pt  0.9236  0.4235  0.1532  -0.01
Pt  0.4235  0.9236  0.1532  -0.01
Pt  0.5765  0.0764  0.8468  -0.01
Pt  0.0764  0.5765  0.8468  -0.01

Values from the calculation:
Fermi-level density of states in states/eV/atom: 1.485
Magnetization in μB per formula unit: 4.8
Energy in Ry/atom: -0.5047
Space-group type: I4/mmm (139)
Energy relative to the elements, uncorrected in eV/atom: -0.560


17.
The following is a PBE-GGA calculation of RbSIO2 after structural relaxation, from Alexandria.

Unit cell a=4.3935 b=4.3935 c=5.3013 alpha=90.00 beta=90.00 gamma=90.00
Element x y z (fractional)
I  0.0000  0.0000  0.5000
S  0.0000  0.0000  0.0000
O  0.0000  0.5000  0.0000
O  0.5000  0.0000  0.0000
Rb  0.5000  0.5000  0.5000

Values from the calculation:
Fermi-level density of states in states/eV/atom: 0.378
Magnetization in μB per formula unit: 0.0
Energy in Ry/atom: -0.2342
Space-group type: P4/mmm (123)
Energy relative to the elements, uncorrected in eV/atom: 0.125


18.
The following is a PBE-GGA calculation of Ac2EuPb after structural relaxation, from Alexandria.

Unit cell a=4.4930 b=4.4930 c=7.6272 alpha=90.00 beta=90.00 gamma=90.00
Site moments in Bohr magnetons follow the coordinates.
Element x y z (fractional)
Pb  0.5000  0.5000  0.0000  -0.02
Eu  0.5000  0.5000  0.5000  6.92
Ac  0.0000  0.0000  0.7743  0.05
Ac  0.0000  0.0000  0.2257  0.05

Values from the calculation:
Fermi-level density of states in states/eV/atom: 1.109
Energy above the most stable polymorph in this dataset in eV/atom: 0.043
Magnetization in μB per formula unit: 7.6
Energy in Ry/atom: -0.4246
Space-group type: P4/mmm (123)
DFT formation energy in meV per atom: -226


19.
The following is a PBE-GGA calculation of Cs3Pm2PaTe6 after structural relaxation, from Alexandria.

Unit cell a=7.9689 b=7.9689 c=9.3745 alpha=98.14 beta=98.14 gamma=119.99
Site moments in Bohr magnetons follow the coordinates.
Element x y z (fractional)
Cs  0.1688  0.8312  0.5000  0.00
Cs  0.8312  0.1688  0.5000  0.00
Cs  0.5000  0.5000  0.5000  0.00
Pm  0.3337  0.6663  0.0000  0.08
Pm  0.6663  0.3337  0.0000  0.08
Pa  0.0000  0.0000  0.0000  1.32
Te  0.9354  0.6077  0.8057  -0.02
Te  0.7377  0.7377  0.1953  -0.02
Te  0.0646  0.3923  0.1943  -0.02
Te  0.6077  0.9354  0.8057  -0.02
Te  0.2623  0.2623  0.8047  -0.02
Te  0.3923  0.0646  0.1943  -0.02

Values from the calculation:
Fermi-level density of states in states/eV/atom: 0.712
Magnetization in μB per formula unit: 1.8
Energy in Ry/atom: -0.3382
Space-group type: C2/m (12)
Energy relative to the elements, uncorrected in eV/atom: -1.234


20.
The following is a PBE-GGA calculation of Y2HoThSe4 after structural relaxation, from Alexandria.

Unit cell a=4.0716 b=7.1200 c=7.1794 alpha=70.96 beta=90.00 gamma=90.00
Element x y z (fractional)
Y  0.0000  0.0000  0.0000
Y  0.5000  0.0000  0.5000
Ho  0.0000  0.5000  0.5000
Th  0.5000  0.5000  0.0000
Se  0.0000  0.7579  0.7397
Se  0.0000  0.2421  0.2603
Se  0.5000  0.7520  0.2566
Se  0.5000  0.2480  0.7434

Values from the calculation:
Fermi-level density of states in states/eV/atom: 0.552
Magnetization in μB per formula unit: 0.0
Energy in Ry/atom: -0.4806
Space-group type: P2/m (10)
Energy relative to the elements, uncorrected in eV/atom: -1.681